VASP calculation (PBE with a Hubbard U) on a relaxed Mn3CuF crystal.

Geometry as POSCAR:
```
Mn3CuF
1.0
4.826 0.000 0.000
0.000 4.826 0.000
0.000 0.000 4.826
Mn Cu F
3 1 1
direct
0.000 0.000 0.500
0.000 0.500 0.000
0.500 0.000 0.000
0.000 0.000 0.000
0.500 0.500 0.500
```

Calculated values
Electronic total energy: -5.357 eV/atom
Total moment: 14.51 μB/f.u.
SG: Pm-3m, No. 221